Record 1
Computed, not measured: crystalline CdInB at its relaxed geometry at the PBE-GGA level of DFT.

Properties
Formation energy ... 0.724 eV per atom
Total moment ... 0.000 μB per atom

a = 4.227 Å, b = 4.227 Å, c = 8.573 Å
α = 90.00°, β = 90.00°, γ = 120.00°
Fractional coordinates of all 6 atoms:
B 0.000 0.000 0.250
B 0.000 0.000 0.750
Cd 0.333 0.667 0.250
Cd 0.667 0.333 0.750
In 0.000 0.000 0.000
In 0.000 0.000 0.500

---

Record 2
Computed, not measured: crystalline PmNdIr at its relaxed geometry at the PBE-GGA level of DFT.

Properties
Formation energy ... -0.421 eV per atom
Excess energy over the best structure of this formula in the dataset ... 0.121 eV/atom
Total moment ... 0.000 μB per atom

a = 3.570 Å, b = 3.570 Å, c = 7.143 Å
α = 104.47°, β = 104.47°, γ = 90.00°
Fractional coordinates of all 3 atoms:
Ir 0.668 0.668 0.335
Nd 0.042 0.042 0.084
Pm 0.290 0.290 0.581

---

Record 3
Computed, not measured: crystalline Be3BiRu at its relaxed geometry at the PBE-GGA level of DFT.

Properties
Formation energy ... 0.513 eV per atom
Excess energy over the best structure of this formula in the dataset ... 0.000 eV/atom
Total moment ... 0.000 μB per atom

a = 4.307 Å, b = 4.307 Å, c = 4.307 Å
α = 90.00°, β = 90.00°, γ = 90.00°
Fractional coordinates of all 5 atoms:
Ru 0.000 0.000 0.000
Bi 0.500 0.500 0.500
Be 0.000 0.500 0.000
Be 0.000 0.000 0.500
Be 0.500 0.000 0.000

---

Record 4
Computed, not measured: crystalline ScMnSiAs2 at its relaxed geometry at the PBE-GGA level of DFT.

Properties
Energy relative to the elements, uncorrected ... 0.31 eV/atom
Total moment ... 0.570 μB per atom

a = 4.860 Å, b = 4.360 Å, c = 4.860 Å
α = 90.00°, β = 90.00°, γ = 90.00°
Fractional coordinates of all 5 atoms:
Sc 0.500 0.500 0.500
As 0.000 0.000 0.500
As 0.500 0.000 0.000
Mn 0.000 0.500 0.000
Si 0.000 0.000 0.000

---

Record 5
Computed, not measured: crystalline LiCuBRh at its relaxed geometry at the PBE-GGA level of DFT.

Properties
Formation energy ... -0.010 eV per atom
Total moment ... 0.000 μB per atom

a = 3.851 Å, b = 3.851 Å, c = 3.851 Å
α = 60.00°, β = 60.00°, γ = 60.00°
Fractional coordinates of all 4 atoms:
B 0.750 0.750 0.750
Rh 0.500 0.500 0.500
Cu 0.000 0.000 0.000
Li 0.250 0.250 0.250

---

Record 6
Computed, not measured: crystalline NaRe2Ir at its relaxed geometry at the PBE-GGA level of DFT.

Properties
Formation energy ... 1.011 eV per atom
Excess energy over the best structure of this formula in the dataset ... 0.000 eV/atom
Total moment ... 0.000 μB per atom

a = 4.411 Å, b = 4.411 Å, c = 4.411 Å
α = 60.00°, β = 60.00°, γ = 60.00°
Fractional coordinates of all 4 atoms:
Re 0.250 0.250 0.250
Re 0.750 0.750 0.750
Ir 0.500 0.500 0.500
Na 0.000 0.000 0.000

---

Record 7
Computed, not measured: crystalline CaNdHg6 at its relaxed geometry at the PBE-GGA level of DFT.

Properties
Formation energy ... -0.364 eV per atom
Total moment ... 0.000 μB per atom

a = 4.721 Å, b = 4.721 Å, c = 9.283 Å
α = 90.00°, β = 90.00°, γ = 90.00°
Fractional coordinates of all 8 atoms:
Ca 0.000 0.000 0.500
Nd 0.000 0.000 0.000
Hg 0.500 0.500 0.000
Hg 0.500 0.500 0.500
Hg 0.500 0.000 0.250
Hg 0.500 0.000 0.750
Hg 0.000 0.500 0.250
Hg 0.000 0.500 0.750

---

Record 8
Computed, not measured: crystalline TaZnHg at its relaxed geometry at the PBE-GGA level of DFT.

Properties
Formation energy ... 0.723 eV per atom
Excess energy over the best structure of this formula in the dataset ... 0.515 eV/atom
Total moment ... 0.000 μB per atom

a = 4.361 Å, b = 4.361 Å, c = 4.361 Å
α = 60.00°, β = 60.00°, γ = 60.00°
Fractional coordinates of all 3 atoms:
Hg 0.000 0.000 0.000
Ta 0.500 0.500 0.500
Zn 0.250 0.250 0.250

---

Record 9
Computed, not measured: crystalline Hg3AsSe4I at its relaxed geometry at the PBE-GGA level of DFT.

Properties
Energy relative to the elements, uncorrected ... -0.21 eV/atom
Total moment ... 0.000 μB per atom

a = 7.860 Å, b = 7.860 Å, c = 10.805 Å
α = 90.00°, β = 90.00°, γ = 120.00°
Fractional coordinates of all 18 atoms:
As 0.000 0.000 0.239
As 0.000 0.000 0.739
Hg 0.499 0.997 0.240
Hg 0.003 0.501 0.240
Hg 0.499 0.501 0.240
Hg 0.501 0.003 0.740
Hg 0.997 0.499 0.740
Hg 0.501 0.499 0.740
I 0.667 0.333 0.034
I 0.333 0.667 0.534
Se 0.304 0.152 0.359
Se 0.848 0.152 0.359
Se 0.848 0.696 0.359
Se 0.696 0.848 0.859
Se 0.152 0.848 0.859
Se 0.152 0.304 0.859
Se 0.333 0.667 0.115
Se 0.667 0.333 0.615

---

Record 10
Computed, not measured: crystalline NdHfCd at its relaxed geometry at the PBE-GGA level of DFT.

Properties
Formation energy ... 0.291 eV per atom
Excess energy over the best structure of this formula in the dataset ... 0.307 eV/atom
Total moment ... 0.000 μB per atom

a = 5.305 Å, b = 5.308 Å, c = 6.152 Å
α = 90.00°, β = 90.00°, γ = 119.98°
Fractional coordinates of all 6 atoms:
Cd 0.444 0.889 0.000
Cd 0.445 0.889 0.500
Nd 0.778 0.556 0.250
Nd 0.778 0.556 0.750
Hf 0.111 0.222 0.750
Hf 0.111 0.222 0.250

---

Record 11
Computed, not measured: crystalline FeP2Br at its relaxed geometry at the PBE-GGA level of DFT.

Properties
Energy relative to the elements, uncorrected ... 0.81 eV/atom
Excess energy over the best structure of this formula in the dataset ... 0.900 eV/atom
Total moment ... 0.799 μB per atom

a = 6.374 Å, b = 6.374 Å, c = 2.731 Å
α = 90.00°, β = 90.00°, γ = 137.22°
Fractional coordinates of all 4 atoms:
Br 0.500 0.000 0.500
Fe 0.000 0.500 0.500
P 0.000 0.000 0.000
P 0.500 0.500 0.000

---

Record 12
Computed, not measured: crystalline TcMo2P at its relaxed geometry at the PBE-GGA level of DFT.

Properties
Formation energy ... 0.047 eV per atom
Total moment ... 0.000 μB per atom

a = 4.764 Å, b = 4.764 Å, c = 2.899 Å
α = 90.00°, β = 90.00°, γ = 116.91°
Fractional coordinates of all 4 atoms:
Tc 0.500 0.500 0.500
Mo 0.500 0.000 0.000
Mo 0.000 0.500 0.000
P 0.000 0.000 0.500

---

> Which value of total moment does entry 3 give?

0.000 μB per atom

---

> Which value of total moment does entry 12 give?

0.000 μB per atom